Computed, not measured: an optimized crystal structure of Sm4Er3Tm4 at the PBE level of DFT.

Geometry as POSCAR:
```
Sm4Er3Tm4
1.0
3.4956 0.0002 0.0025
0.0005 5.5991 0.0040
1.7400 2.7847 17.6663
Sm Er Tm
4 3 4
Cartesian
3.4898 2.7875 14.4778
1.7453 2.7929 8.2180
3.4908 5.5911 9.4558
1.7464 5.5968 3.1950
1.7443 5.5879 12.8715
3.4919 2.7962 4.8010
1.7401 2.7849 17.6659
3.4905 5.5859 16.0673
1.7457 2.7985 1.6044
1.7427 5.5947 6.3737
3.4934 2.7894 11.2998
```

Calculated values
- raw total energy (eV/atom) = -4.52
- energy above the lowest structure with this stoichiometry (eV per atom) = 0.047
- energy of formation (eV/atom) = 0.068